## Pu6Rh2Au (PBE)

Data for a relaxed Pu6Rh2Au crystal.

Cell: 2.712 8.081 8.081 Å, 120.00 90.00 90.00°
Atoms (fractional coordinates):
Pu  0.063  0.646  0.646
Pu  0.063  0.000  0.354
Pu  0.063  0.354  0.000
Pu  0.937  0.354  0.354
Pu  0.937  0.000  0.646
Pu  0.937  0.646  0.000
Rh  0.500  0.667  0.333
Rh  0.500  0.333  0.667
Au  0.500  0.000  0.000

Properties
- DOS(E_F) (states/eV/atom) = 2.3035
- ΔE_f (meV/atom) = 146
- magnetization (μB per cell) = 0.00

=====

## Pu5RhAu (PBE)

Data for a relaxed Pu5RhAu crystal.

Cell: 4.852 4.852 7.481 Å, 90.00 90.00 90.00°
Last column: magnetic moment on the atom in μB.
Atoms (fractional coordinates):
Pu  0.000  0.500  0.780  5.56
Pu  0.000  0.500  0.220  5.56
Pu  0.500  0.000  0.780  5.56
Pu  0.500  0.000  0.220  5.56
Pu  0.500  0.500  0.500  5.78
Rh  0.500  0.500  0.000  -0.28
Au  0.000  0.000  0.500  0.09

Properties
- DOS(E_F) (states/eV/atom) = 4.6051
- ΔE_f (meV/atom) = -98
- magnetization (μB per cell) = 29.65

=====

## Pu2Sb3Rh4Au (PBE)

Data for a relaxed Pu2Sb3Rh4Au crystal.

Cell: 4.146 4.146 12.092 Å, 90.00 90.00 90.00°
Last column: magnetic moment on the atom in μB.
Atoms (fractional coordinates):
Pu  0.500  0.000  0.272  5.20
Pu  0.000  0.500  0.728  5.20
Sb  0.000  0.000  0.500  -0.04
Sb  0.500  0.000  0.870  -0.02
Sb  0.000  0.500  0.130  -0.02
Rh  0.500  0.500  0.000  0.04
Rh  0.000  0.000  0.000  0.03
Rh  0.500  0.000  0.660  -0.26
Rh  0.000  0.500  0.340  -0.26
Au  0.500  0.500  0.500  -0.01

Properties
- energy relative to the elements, uncorrected (eV/atom) = -0.52
- DOS(E_F) (states/eV/atom) = 2.5783
- magnetization (μB per cell) = 10.24

=====

## Pu3SiRh3Au2 (PBE)

Data for a relaxed Pu3SiRh3Au2 crystal.

Cell: 3.641 7.546 7.546 Å, 120.00 90.00 90.00°
Last column: magnetic moment on the atom in μB.
Atoms (fractional coordinates):
Pu  0.000  0.000  0.385  5.16
Pu  0.000  0.615  0.615  5.16
Pu  0.000  0.385  0.000  5.16
Si  0.000  0.000  0.000  0.01
Rh  0.500  0.778  0.000  -0.15
Rh  0.500  0.222  0.222  -0.15
Rh  0.500  0.000  0.778  -0.15
Au  0.500  0.333  0.667  0.02
Au  0.500  0.667  0.333  0.02

Properties
- energy relative to the elements, uncorrected (eV/atom) = -0.48
- DOS(E_F) (states/eV/atom) = 4.0910
- magnetization (μB per cell) = 15.80

=====

## SmPuRhAu (PBE)

Data for a relaxed SmPuRhAu crystal.

Cell: 5.044 5.044 5.044 Å, 60.00 60.00 60.00°
Last column: magnetic moment on the atom in μB.
Atoms (fractional coordinates):
Rh  0.500  0.500  0.500  -0.18
Au  0.000  0.000  0.000  0.04
Sm  0.250  0.250  0.250  0.13
Pu  0.750  0.750  0.750  5.32

Properties
- E above lowest polymorph (eV/atom) = 0.0816
- DOS(E_F) (states/eV/atom) = 3.1875
- ΔE_f (meV/atom) = -525
- magnetization (μB per cell) = 5.73

=====

## SmPuRhAu (PBE)

Data for a relaxed SmPuRhAu crystal.

Cell: 3.952 4.221 5.990 Å, 90.00 109.26 90.00°
Last column: magnetic moment on the atom in μB.
Atoms (fractional coordinates):
Sm  0.150  0.000  0.301  0.10
Pu  0.866  0.500  0.733  5.21
Rh  0.403  0.000  0.806  -0.25
Au  0.580  0.500  0.160  0.03

Properties
- E above lowest polymorph (eV/atom) = 0.0000
- DOS(E_F) (states/eV/atom) = 2.6321
- ΔE_f (meV/atom) = -606
- magnetization (μB per cell) = 5.55